Compound: LiNdSmMg
Source: Alexandria
Functional: PBE
Structure: optimized geometry

Cell and atoms, written as extended XYZ:
```
4
Lattice="-3.9215 -3.7695 -0.0311 1.1854 -5.1472 -1.2999 -0.0904 -3.8622 3.8294" Properties=species:S:1:pos:R:3 pbc="T T T"
Sm -2.1199 -9.5842 1.8738
Nd -0.7066 -3.1947 0.6246
Mg -1.4133 -6.3895 1.2492
Li 0.0000 0.0000 0.0000
```

Properties
Energy relative to the elements (eV/atom): 0.02
Space-group type: No. 216
Raw total energy (eV/atom): -3.231
Crystal system: cubic